[1]
Compound: SmEuC
Source: Alexandria via LeMat-Bulk
Functional: PBE
Structure: relaxed

Computed properties:
**Energy of formation**: 0.01 eV/atom
**DOS(E_F)**: 1.887 states/eV per atom
**Energy relative to the lowest polymorph listed for this composition**: 0 meV per atom
**SG**: P3m1 (156)
**Energy**: -24.19 eV/cell

Cell lengths 3.716, 3.716, 6.689 Å; angles 90.00, 90.00, 120.00 degrees
Sites, in units of the cell vectors:
Sm: 0.000 0.000 0.000
Eu: 0.333 0.667 0.582
C: 0.667 0.333 0.819


[2]
Compound: In2SO
Source: Alexandria via LeMat-Bulk
Functional: PBE
Structure: relaxed

Computed properties:
**DOS(E_F)**: 0.419 states/eV per atom
**Energy relative to the lowest polymorph listed for this composition**: 0 meV per atom
**SG**: I-42d (122)
**Raw formation energy**: -639 meV/atom
**Energy**: -34.23 eV/cell

Cell lengths 7.024, 7.024, 7.024 Å; angles 132.54, 132.54, 69.38 degrees
Sites, in units of the cell vectors:
In: 0.060 0.625 0.935
In: 0.375 0.310 0.435
In: 0.690 0.125 0.065
In: 0.875 0.940 0.565
S: 0.250 0.750 0.500
S: 0.500 0.500 0.000
O: 0.000 0.000 0.000
O: 0.750 0.250 0.500


[3]
Compound: CsHPd
Source: Alexandria via LeMat-Bulk
Functional: PBE
Structure: relaxed

Computed properties:
**Energy relative to the lowest polymorph listed for this composition**: 154 meV per atom
**SG**: P2/m (10)
**Energy**: -9.72 eV/cell

Cell lengths 3.513, 4.613, 4.638 Å; angles 90.00, 90.52, 90.00 degrees
Sites, in units of the cell vectors:
Cs: 0.000 0.000 0.000
H: 0.000 0.500 0.500
Pd: 0.500 0.500 0.500


[4]
Compound: MoC2
Source: Alexandria via LeMat-Bulk
Functional: PBE
Structure: relaxed

Computed properties:
**Energy of formation**: 0.52 eV/atom
**DOS(E_F)**: 0.160 states/eV per atom
**Energy relative to the lowest polymorph listed for this composition**: 0 meV per atom
**SG**: I4/mcm (140)
**Energy**: -55.44 eV/cell

Cell lengths 4.174, 4.174, 4.174 Å; angles 115.75, 115.75, 97.53 degrees
Sites, in units of the cell vectors:
Mo: 0.250 0.250 0.000
Mo: 0.750 0.750 0.000
C: 0.114 0.614 0.728
C: 0.386 0.114 0.500
C: 0.614 0.886 0.500
C: 0.886 0.386 0.272


[5]
Compound: SrInSnBi
Source: Alexandria via LeMat-Bulk
Functional: PBE
Structure: relaxed

Computed properties:
**Energy of formation**: -0.24 eV/atom
**DOS(E_F)**: 0.935 states/eV per atom
**Energy relative to the lowest polymorph listed for this composition**: 159 meV per atom
**SG**: F-43m (216)
**Energy**: -13.27 eV/cell

Cell lengths 5.651, 5.651, 5.651 Å; angles 60.00, 60.00, 60.00 degrees
Sites, in units of the cell vectors:
Sr: 0.000 0.000 0.000
In: 0.750 0.750 0.750
Sn: 0.500 0.500 0.500
Bi: 0.250 0.250 0.250


[6]
Compound: Li3MgU3N8
Source: Alexandria via LeMat-Bulk
Functional: PBE
Structure: relaxed

Computed properties:
**DOS(E_F)**: 0.313 states/eV per atom
**SG**: R-3m (166)
**Raw formation energy**: -869 meV/atom
**Energy**: -120.83 eV/cell

Cell lengths 6.284, 6.284, 6.284 Å; angles 66.06, 66.06, 66.06 degrees
Sites, in units of the cell vectors:
Li: 0.000 0.500 0.500
Li: 0.500 0.000 0.500
Li: 0.500 0.500 0.000
Mg: 0.500 0.500 0.500
U: 0.000 0.000 0.500
U: 0.000 0.500 0.000
U: 0.500 0.000 0.000
N: 0.218 0.739 0.739
N: 0.240 0.240 0.240
N: 0.261 0.261 0.782
N: 0.261 0.782 0.261
N: 0.739 0.218 0.739
N: 0.739 0.739 0.218
N: 0.760 0.760 0.760
N: 0.782 0.261 0.261


[7]
Compound: BeFeNiPd
Source: Alexandria via LeMat-Bulk
Functional: PBE
Structure: relaxed

Computed properties:
**Energy of formation**: -0.12 eV/atom
**DOS(E_F)**: 0.968 states/eV per atom
**SG**: F-43m (216)
**Energy**: -23.65 eV/cell

Cell lengths 4.062, 4.062, 4.062 Å; angles 60.00, 60.00, 60.00 degrees
Sites, in units of the cell vectors:
Be: 0.000 0.000 0.000
Fe: 0.500 0.500 0.500
Ni: 0.750 0.750 0.750
Pd: 0.250 0.250 0.250


[8]
Compound: CsKNp2O7
Source: Alexandria via LeMat-Bulk
Functional: PBE
Structure: relaxed

Computed properties:
**DOS(E_F)**: 0.375 states/eV per atom
**SG**: P4/mmm (123)
**Raw formation energy**: -2598 meV/atom
**Energy**: -91.12 eV/cell

Cell lengths 4.253, 4.253, 11.022 Å; angles 90.00, 90.00, 90.00 degrees
Sites, in units of the cell vectors:
Cs: 0.000 0.000 0.000
K: 0.000 0.000 0.500
Np: 0.500 0.500 0.307
Np: 0.500 0.500 0.693
O: 0.000 0.500 0.316
O: 0.000 0.500 0.684
O: 0.500 0.000 0.316
O: 0.500 0.000 0.684
O: 0.500 0.500 0.136
O: 0.500 0.500 0.500
O: 0.500 0.500 0.864